Material: PmCo4Pd3O12
Method: DFT, GGA+U
State: optimized geometry

Values from the calculation:
SG = No. 204
raw total energy = -0.2206 hartree per atom

abc: 6.467 6.467 6.467
angles: 109.47 109.47 109.47
Sites, in units of the cell vectors:
Pm1 0.000 0.000 0.000
Co1 0.000 0.000 0.500
Co2 0.000 0.500 0.000
Co3 0.500 0.000 0.000
Co4 0.500 0.500 0.500
Pd1 0.000 0.500 0.500
Pd2 0.500 0.000 0.500
Pd3 0.500 0.500 0.000
O1 0.119 0.820 0.299
O2 0.180 0.299 0.479
O3 0.180 0.701 0.881
O4 0.299 0.119 0.820
O5 0.299 0.479 0.180
O6 0.479 0.180 0.299
O7 0.521 0.820 0.701
O8 0.701 0.521 0.820
O9 0.701 0.881 0.180
O10 0.820 0.299 0.119
O11 0.820 0.701 0.521
O12 0.881 0.180 0.701